Here is an optimized crystal structure of Be2In2Pd from the Alexandria database. Energies are from PBE.

The value obtained for the calculated volume is 15.9 Å³/atom. As for the formation energy: 0.142 eV/atom. The density of states at the Fermi level is 0.39 states/eV per atom.

It has space group I4/mmm (No. 139), with a = 3.1584 Å, b = 3.1584 Å, c = 15.9471 Å, α = 90.00°, β = 90.00° and γ = 90.00°. Symmetry generates all atoms from Be at (0.0000, 0.5000, 0.2500), In at (0.0000, 0.0000, 0.1137) and Pd at (0.0000, 0.0000, 0.5000).